# 1
The following is a meta-GGA SCAN calculation of TiV2Mo at its PBEsol-relaxed geometry, from the Alexandria database.

Calculated values
volume: 227 Å³ per cell
E_form: -0.02 eV/atom
calculated density: 7.2 g cm⁻³

Cell: 6.1010 6.1010 6.1010 Å, 90.00 90.00 90.00°
With the nearest neighbours (Å) after each atom.
Space group Fm-3m (No. 225)
Asymmetric unit:
Ti1 0.0000 0.0000 0.0000  8 V 2.64
V1 0.2500 0.2500 0.2500  4 Mo 2.64, 4 Ti 2.64
Mo1 0.0000 0.0000 0.5000  8 V 2.64


# 2
The following is a meta-GGA SCAN calculation of TiMo2W at its PBEsol-relaxed geometry, from the Alexandria database.

Calculated values
volume: 244 Å³ per cell
E_form: -0.14 eV/atom
calculated density: 11.5 g cm⁻³

Cell: 6.2506 6.2506 6.2506 Å, 90.00 90.00 90.00°
With the nearest neighbours (Å) after each atom.
Space group Fm-3m (No. 225)
Asymmetric unit:
Ti1 0.0000 0.0000 0.0000  8 Mo 2.71
Mo1 0.2500 0.2500 0.2500  4 W 2.71, 4 Ti 2.71
W1 0.0000 0.0000 0.5000  8 Mo 2.71


# 3
The following is a meta-GGA SCAN calculation of YTiMo3 at its PBEsol-relaxed geometry, from the Alexandria database.

Calculated values
volume: 102 Å³ per cell
E_form: 2.39 eV/atom
calculated density: 6.9 g cm⁻³

Cell: 4.6756 4.6756 4.6756 Å, 90.00 90.00 90.00°
With the nearest neighbours (Å) after each atom.
Space group Pm-3m (No. 221)
Asymmetric unit:
Y1 0.0000 0.0000 0.0000  6 Mo 2.34
Ti1 0.5000 0.5000 0.5000  12 Mo 3.31
Mo1 0.0000 0.0000 0.5000  2 Y 2.34


# 4
The following is a meta-GGA SCAN calculation of Y3TiMo at its PBEsol-relaxed geometry, from the Alexandria database.

Calculated values
volume: 141 Å³ per cell
E_form: 0.72 eV/atom
calculated density: 4.8 g cm⁻³

Cell: 5.2067 5.2067 5.2067 Å, 90.00 90.00 90.00°
With the nearest neighbours (Å) after each atom.
Space group Pm-3m (No. 221)
Asymmetric unit:
Y1 0.0000 0.0000 0.5000  2 Mo 2.60
Ti1 0.5000 0.5000 0.5000  12 Y 3.68
Mo1 0.0000 0.0000 0.0000  6 Y 2.60